Computed, not measured: a relaxed structure of Ce3Ga8Co3 at the GGA-PBE level of DFT.

Cell: 4.2239 9.7707 11.9587 Å, 90.00 90.00 90.00°
Closest atoms and distances in Å follow each position.
Space group Immm (No. 71)
Asymmetric unit:
Ce: 0.0000 0.0000 0.0000  12 Ga 3.11-3.17
Ce: 0.0000 0.0000 0.3318  4 Co 2.85-2.92, 4 Ga 3.05
Ga: 0.0000 0.2838 0.1186  3 Co 2.54-2.55, 4 Ga 2.62-2.84
Ga: 0.0000 0.3655 0.3357  1 Co 2.51, 4 Ga 2.62-2.72
Co: 0.0000 0.2060 0.5000  6 Ga 2.51-2.55
Co: 0.0000 0.5000 0.0000  4 Ga 2.54

Crystal system   orthorhombic
Total moment   1.4 μB per cell
Formation energy from the elements   -0.48 eV/atom
D(E_F)   12.84 states/eV/f.u.

Computed, not measured: a relaxed structure of CrOs2W at the GGA-PBE level of DFT.

Cell: 2.9802 4.4577 8.7023 Å, 90.00 90.00 90.00°
Closest atoms and distances in Å follow each position.
Space group Cmm2 (No. 35)
Asymmetric unit:
Cr: 0.0000 0.0000 0.0000  2 Os 2.52, 2 W 2.59, 4 Cr 2.68
Os: 0.0000 0.0000 0.5000  8 Os 2.68-2.98, 2 W 2.68
Os: 0.0000 0.5000 0.2331  2 Cr 2.52, 6 Os 2.68-2.76
W: 0.0000 0.5000 0.7565  2 Cr 2.59, 4 W 2.68, 2 Os 2.68

Crystal system   orthorhombic
Excess energy over the best structure of this formula in the dataset   315 meV per atom
Total moment   0.0 μB per cell
Formation energy from the elements   0.41 eV/atom
D(E_F)   4.87 states/eV/f.u.

Computed, not measured: a relaxed structure of BaNbBi2H at the GGA-PBE level of DFT.

Cell: 6.2191 6.2191 3.9838 Å, 90.00 90.00 90.00°
Closest atoms and distances in Å follow each position.
Space group P4/mmm (No. 123)
Asymmetric unit:
Ba: 0.0000 0.0000 0.0000  2 H 1.99
Nb: 0.5000 0.5000 0.5000  8 Bi 3.69, 2 Nb 3.98
Bi: 0.0000 0.5000 0.0000  2 Ba 3.11
H: 0.0000 0.0000 0.5000  2 Ba 1.99

Crystal system   tetragonal
Total DFT energy (no corrections)   -3.440 eV/atom
Total moment   0.0 μB per cell
D(E_F)   7.11 states/eV/f.u.

Computed, not measured: a relaxed structure of FeRuW2 at the GGA-PBE level of DFT.

Cell: 3.1408 4.3173 8.6205 Å, 90.00 90.00 90.00°
Closest atoms and distances in Å follow each position.
Space group Immm (No. 71)
Asymmetric unit:
Fe: 0.0000 0.0000 0.0000  4 W 2.62, 4 Ru 2.67
Ru: 0.0000 0.0000 0.5000  4 Fe 2.67, 4 W 2.71
W: 0.0000 0.5000 0.2561  2 Fe 2.62, 4 W 2.67, 2 Ru 2.71

Crystal system   orthorhombic
Excess energy over the best structure of this formula in the dataset   41 meV per atom
Total moment   5.2 μB per cell
Formation energy from the elements   0.15 eV/atom
D(E_F)   3.93 states/eV/f.u.

Computed, not measured: a relaxed structure of Ba3Ag2Au4 at the GGA-PBE level of DFT.

Cell: 12.0624 4.8800 9.5283 Å, 90.00 108.19 90.00°
Closest atoms and distances in Å follow each position.
Space group C2/m (No. 12)
Asymmetric unit:
Ba: 0.0000 0.0000 0.0000  8 Au 3.52-3.58, 4 Ag 3.57
Ba: 0.1632 0.5000 0.6710  8 Au 3.51-3.57, 4 Ag 3.53-3.57
Ag: 0.1158 0.5000 0.2818  3 Au 2.81-2.82
Au: 0.0604 0.0000 0.3925  2 Ag 2.82, 1 Au 2.86
Au: 0.2195 0.5000 0.0553  1 Ag 2.81, 2 Au 2.84

Crystal system   monoclinic
Total moment   0.0 μB per cell
Formation energy from the elements   -0.60 eV/atom
D(E_F)   2.50 states/eV/f.u.

Computed, not measured: a relaxed structure of Sc2AlRh at the GGA-PBE level of DFT.

Cell: 6.5131 6.5131 6.5131 Å, 90.00 90.00 90.00°
Closest atoms and distances in Å follow each position.
Space group F-43m (No. 216)
Asymmetric unit:
Sc: 0.0000 0.0000 0.0000  4 Sc 2.82, 4 Al 2.82
Sc: 0.2500 0.2500 0.2500  4 Rh 2.82, 4 Sc 2.82
Al: 0.2500 0.2500 0.7500  4 Sc 2.82, 4 Rh 2.82
Rh: 0.0000 0.0000 0.5000  4 Al 2.82, 4 Sc 2.82

Crystal system   cubic
Total moment   0.0 μB per cell
Formation energy from the elements   -0.66 eV/atom
D(E_F)   0.02 states/eV/f.u.

Computed, not measured: a relaxed structure of K2Ba3Br8 at the GGA-PBE level of DFT.

Cell: 11.7759 16.2938 5.4874 Å, 90.00 90.00 90.00°
Closest atoms and distances in Å follow each position.
Space group Cmmm (No. 65)
Asymmetric unit:
K: 0.0000 0.2348 0.0000  6 Br 3.30-3.68
Ba: 0.0000 0.5000 0.0000  8 Br 3.30-3.34
Ba: 0.2147 0.0000 0.5000  6 Br 3.22-3.38
Br: 0.0000 0.1222 0.5000  2 Ba 3.22, 2 K 3.30
Br: 0.0000 0.3870 0.5000  2 Ba 3.30, 1 Br 3.68, 2 K 3.70
Br: 0.2344 0.3841 0.0000  3 Ba 3.34-3.38, 2 K 3.68

Crystal system   orthorhombic
Total moment   0.0 μB per cell
ΔE_f (raw)   -2004.8 meV/atom
D(E_F)   0.00 states/eV/f.u.

Computed, not measured: a relaxed structure of NaSr4Tl2Cd at the GGA-PBE level of DFT.

Cell: 5.8557 5.8557 28.7098 Å, 90.00 90.00 120.00°
Closest atoms and distances in Å follow each position.
Space group R-3m (No. 166, hexagonal axes)
Asymmetric unit:
Na: 0.0000 0.0000 0.0000  8 Sr 3.64-3.73, 6 Tl 4.07
Sr: 0.0000 0.0000 0.1299  3 Cd 3.54, 4 Tl 3.57-3.68, 1 Na 3.73
Sr: 0.0000 0.0000 0.3803  1 Cd 3.44, 4 Tl 3.50-3.62, 3 Na 3.64
Tl: 0.0000 0.0000 0.2543  8 Sr 3.50-3.68
Cd: 0.0000 0.0000 0.5000  8 Sr 3.44-3.54

Crystal system   trigonal
Total moment   0.0 μB per cell
Formation energy from the elements   -0.31 eV/atom
D(E_F)   8.07 states/eV/f.u.

- The lowest D(E_F) belongs to which entry?
  K2Ba3Br8